## BaGa12Ni6 (PBE)

Data for BaGa12Ni6 after structural relaxation.

formation energy from the elements = -0.347 eV per atom

a b c (Å): 7.035 7.035 7.035
angles (deg): 104.55 104.55 104.55
Fractional coordinates of all 19 atoms:
Ga  0.843  0.577  0.577
Ga  0.423  0.423  0.157
Ni  0.271  0.271  0.692
Ga  0.881  0.500  0.119
Ga  0.500  0.119  0.881
Ga  0.157  0.423  0.423
Ga  0.119  0.500  0.881
Ga  0.423  0.157  0.423
Ni  0.729  0.308  0.729
Ga  0.577  0.843  0.577
Ga  0.577  0.577  0.843
Ba  0.000  0.000  0.000
Ni  0.308  0.729  0.729
Ga  0.881  0.119  0.500
Ni  0.271  0.692  0.271
Ni  0.729  0.729  0.308
Ga  0.500  0.881  0.119
Ga  0.119  0.881  0.500
Ni  0.692  0.271  0.271

## Pr6Y8Tl (PBE)

Data for Pr6Y8Tl after structural relaxation.

formation energy from the elements = 0.065 eV per atom

a b c (Å): 6.399 9.626 9.626
angles (deg): 120.00 90.00 90.00
Fractional coordinates of all 15 atoms:
Pr  0.689  0.909  0.546
Pr  0.311  0.091  0.454
Y  0.192  0.261  0.222
Y  0.808  0.222  0.961
Y  0.192  0.961  0.739
Y  0.808  0.739  0.778
Y  0.179  0.667  0.333
Pr  0.689  0.637  0.091
Y  0.192  0.778  0.039
Pr  0.311  0.546  0.637
Pr  0.689  0.454  0.363
Pr  0.311  0.363  0.909
Tl  0.500  0.000  0.000
Y  0.808  0.039  0.261
Y  0.821  0.333  0.667

## Dy3Pb4 (PBE)

Data for Dy3Pb4 after structural relaxation.

formation energy from the elements = -0.405 eV per atom

a b c (Å): 4.449 6.236 15.949
angles (deg): 90.00 90.00 110.84
Fractional coordinates of all 14 atoms:
Dy  0.342  0.685  0.598
Dy  0.660  0.320  0.098
Pb  0.636  0.272  0.891
Pb  0.001  0.003  0.000
Pb  0.636  0.272  0.609
Pb  0.183  0.366  0.250
Pb  0.366  0.732  0.391
Dy  0.660  0.319  0.403
Dy  0.082  0.165  0.750
Pb  0.001  0.002  0.500
Dy  0.920  0.840  0.250
Pb  0.367  0.733  0.109
Dy  0.343  0.685  0.903
Pb  0.820  0.638  0.750

## CoMoIr2 (PBE)

Data for CoMoIr2 after structural relaxation.

polymorph energy (0 for the lowest one) = 0.1047 eV/atom
formation energy from the elements = -0.080 eV per atom

a b c (Å): 4.681 4.681 4.669
angles (deg): 80.35 80.35 33.74
Last column: magnetic moment on the atom in μB.
Fractional coordinates of all 4 atoms:
Co  0.250  0.250  0.250  1.18
Ir  0.502  0.502  0.493  0.07
Ir  0.998  0.998  0.007  0.07
Mo  0.750  0.750  0.750  -0.11

What did we get for electronic total energy? Answer: -4.19; -5.45; -4.50; -8.99 eV/atom, in the order shown.
What did we get for total moment? Answer: 0.00; 0.00; 0.00; 1.18 μB/f.u., in the order shown.